Computed, not measured: a relaxed structure of TiVCoNi at the GGA-PBE level of DFT.

Lattice parameters (Å, degrees): 4.168 4.168 4.168 60.00 60.00 60.00
Each line ends with the local moment (μB).
Element x y z (fractional)
Ni 0.000 0.000 0.000  0.07
Ti 0.250 0.250 0.250  -0.03
Co 0.500 0.500 0.500  0.82
V 0.750 0.750 0.750  0.61

Values from the calculation:
**DOS(E_F)**: 1.60 states/eV/atom
**Volume**: 12.8 A^3/atom
**ΔE_f**: -0.175 eV/atom
**SG**: F-43m (216)

***

Computed, not measured: a relaxed structure of ScAlSe2 at the GGA-PBE level of DFT.

Lattice parameters (Å, degrees): 4.717 4.717 3.438 90.00 90.00 90.02
Element x y z (fractional)
Sc 0.000 0.500 0.500
Al 0.500 0.000 0.500
Se 0.000 0.000 0.000
Se 0.500 0.500 0.000

Values from the calculation:
**DOS(E_F)**: 0.42 states/eV/atom
**Volume**: 19.1 A^3/atom
**Formation energy from raw total energies**: -732.5 meV per atom
**SG**: P4/mmm (123)

***

Computed, not measured: a relaxed structure of Ac2SmDyTm at the GGA-PBE level of DFT.

Lattice parameters (Å, degrees): 6.678 8.975 6.409 90.02 90.00 90.00
Element x y z (fractional)
Ac 0.712 0.704 0.750
Ac 0.712 0.296 0.750
Ac 0.288 0.704 0.250
Ac 0.288 0.296 0.250
Sm 0.582 0.000 0.250
Sm 0.418 0.000 0.750
Dy 0.184 0.500 0.750
Dy 0.816 0.500 0.250
Tm 0.000 0.000 0.000
Tm 0.000 0.000 0.500

Values from the calculation:
**DOS(E_F)**: 1.22 states/eV/atom
**Volume**: 38.4 A^3/atom
**ΔE_f**: 0.275 eV/atom
**SG**: Pmma (51)

***

Number 1: E -7.6500 eV/atom. Number 2: E -4.9933 eV/atom. Number 3: E -4.1271 eV/atom.